# 1
First-principles (PBEsol) data for an optimized crystal structure of AlCoReOs2, as listed in Alexandria via LeMat-Bulk.

Values from the calculation:
calculated formation energy: 188 kJ/mol of atoms
crystal system: tetragonal
N(E_F): 5.5 states/eV/f.u.
uncorrected energy: -7.971 eV/atom

abc: 4.6670 4.6670 4.3285
angles: 90.00 90.00 90.00
Space group P4/mmm (No. 123)
Asymmetric unit:
Al1 0.0000 0.0000 0.0000 (multiplicity 1)
Co1 0.5000 0.5000 0.0000 (multiplicity 1)
Re1 0.5000 0.5000 0.5000 (multiplicity 1)
Os1 0.0000 0.5000 0.5000 (multiplicity 2)

---

# 2
First-principles (PBEsol) data for an optimized crystal structure of Al2CoP, as listed in Alexandria via LeMat-Bulk.

Values from the calculation:
calculated formation energy: -6 kJ/mol of atoms
crystal system: tetragonal
N(E_F): 1.8 states/eV/f.u.
uncorrected energy: -5.490 eV/atom

abc: 3.6383 3.6383 7.8049
angles: 90.00 90.00 90.00
Space group I-4m2 (No. 119)
Asymmetric unit:
Al1 0.0000 0.0000 0.0000 (multiplicity 2)
Al2 0.0000 0.5000 0.2500 (multiplicity 2)
Co1 0.0000 0.0000 0.5000 (multiplicity 2)
P1 0.0000 0.5000 0.7500 (multiplicity 2)

---

# 3
First-principles (PBEsol) data for an optimized crystal structure of AlCoP2, as listed in Alexandria via LeMat-Bulk.

Values from the calculation:
calculated formation energy: 8 kJ/mol of atoms
crystal system: tetragonal
N(E_F): 2.0 states/eV/f.u.
uncorrected energy: -5.775 eV/atom

abc: 3.6832 3.6832 7.2818
angles: 90.00 90.00 90.00
Space group I-4m2 (No. 119)
Asymmetric unit:
Al1 0.0000 0.0000 0.0000 (multiplicity 2)
Co1 0.0000 0.5000 0.2500 (multiplicity 2)
P1 0.0000 0.0000 0.5000 (multiplicity 2)
P2 0.0000 0.5000 0.7500 (multiplicity 2)

---

# 4
First-principles (PBEsol) data for an optimized crystal structure of Al2CoP, as listed in Alexandria via LeMat-Bulk.

Values from the calculation:
calculated formation energy: -14 kJ/mol of atoms
crystal system: tetragonal
N(E_F): 1.2 states/eV/f.u.
uncorrected energy: -5.577 eV/atom

abc: 3.9741 3.9741 3.2460
angles: 90.00 90.00 90.00
Space group P4/mmm (No. 123)
Asymmetric unit:
Al1 0.0000 0.5000 0.0000 (multiplicity 2)
Co1 0.0000 0.0000 0.5000 (multiplicity 1)
P1 0.5000 0.5000 0.5000 (multiplicity 1)